# 1
Crystalline CaZr2Hg at its relaxed geometry. Source: Alexandria, functional GGA-PBE.

a = 5.8467 Å, b = 5.8467 Å, c = 3.1830 Å
α = 90.00°, β = 90.00°, γ = 116.32°
Closest atoms and distances in Å follow each position.
Element x y z (fractional)
Zr 0.0000 0.0000 0.0000  4 Zr 3.08-3.18, 4 Ca 3.33, 4 Hg 3.33
Zr 0.5000 0.5000 0.0000  4 Zr 3.08-3.18, 4 Hg 3.33, 4 Ca 3.33
Ca 0.5000 0.0000 0.5000  2 Hg 3.08, 2 Ca 3.18, 8 Zr 3.33
Hg 0.0000 0.5000 0.5000  2 Ca 3.08, 2 Hg 3.18, 8 Zr 3.33

Values from the calculation:
DFT formation energy = 22 kJ/mol of atoms


# 2
Crystalline Ca3ZrHg at its relaxed geometry. Source: Alexandria, functional GGA-PBE.

a = 5.7334 Å, b = 5.7334 Å, c = 5.7334 Å
α = 90.00°, β = 90.00°, γ = 90.00°
Closest atoms and distances in Å follow each position.
Element x y z (fractional)
Hg 0.5000 0.5000 0.5000  12 Ca 4.05
Ca 0.5000 0.0000 0.0000  2 Zr 2.87
Ca 0.0000 0.0000 0.5000  2 Zr 2.87
Ca 0.0000 0.5000 0.0000  2 Zr 2.87
Zr 0.0000 0.0000 0.0000  6 Ca 2.87

Values from the calculation:
DFT formation energy = 77 kJ/mol of atoms


# 3
Crystalline Ca2ZrHg at its relaxed geometry. Source: Alexandria, functional GGA-PBE.

a = 8.6695 Å, b = 8.6695 Å, c = 6.9089 Å
α = 51.14°, β = 51.14°, γ = 90.00°
Closest atoms and distances in Å follow each position.
Element x y z (fractional)
Ca 0.8750 0.9113 0.7500  2 Hg 2.96, 2 Ca 3.25
Ca 0.6613 0.1250 0.2500  2 Hg 2.96, 2 Ca 3.25
Ca 0.0887 0.6250 0.2500  2 Hg 2.96, 2 Ca 3.25
Ca 0.3750 0.3387 0.7500  2 Hg 2.96, 2 Ca 3.25
Hg 0.0000 0.0000 0.0000  4 Ca 2.96, 2 Zr 3.19
Hg 0.7500 0.2500 0.5000  4 Ca 2.96, 2 Zr 3.19
Zr 0.5000 0.5000 0.0000  2 Hg 3.19, 4 Ca 3.39
Zr 0.2500 0.7500 0.5000  2 Hg 3.19, 4 Ca 3.39

Values from the calculation:
DFT formation energy = 29 kJ/mol of atoms


# 4
Crystalline CaZrHg2 at its relaxed geometry. Source: Alexandria, functional GGA-PBE.

a = 7.9209 Å, b = 7.9209 Å, c = 6.6222 Å
α = 53.27°, β = 53.27°, γ = 90.00°
Closest atoms and distances in Å follow each position.
Element x y z (fractional)
Hg 0.3750 0.3537 0.7500  2 Zr 2.83, 2 Ca 3.05
Hg 0.8750 0.8963 0.7500  2 Zr 2.83, 2 Ca 3.05
Hg 0.1037 0.6250 0.2500  2 Zr 2.83, 2 Ca 3.05
Hg 0.6463 0.1250 0.2500  2 Zr 2.83, 2 Ca 3.05
Ca 0.5000 0.5000 0.0000  4 Hg 3.05
Ca 0.2500 0.7500 0.5000  4 Hg 3.05
Zr 0.0000 0.0000 0.0000  4 Hg 2.83
Zr 0.7500 0.2500 0.5000  4 Hg 2.83

Values from the calculation:
DFT formation energy = 6 kJ/mol of atoms


# 5
Crystalline CaZrHg2 at its relaxed geometry. Source: Alexandria, functional GGA-PBE.

a = 4.9215 Å, b = 4.9215 Å, c = 6.6907 Å
α = 79.64°, β = 79.64°, γ = 41.62°
Closest atoms and distances in Å follow each position.
Element x y z (fractional)
Hg 0.9968 0.9968 0.0332  3 Zr 2.97-3.01, 3 Ca 3.22
Hg 0.5032 0.5032 0.4668  3 Zr 2.97-3.01, 3 Ca 3.22
Zr 0.2500 0.2500 0.2500  6 Hg 2.97-3.01
Ca 0.7500 0.7500 0.7500  6 Hg 3.22, 2 Ca 3.50

Values from the calculation:
DFT formation energy = -12 kJ/mol of atoms


# 6
Crystalline CaZr2Hg at its relaxed geometry. Source: Alexandria, functional GGA-PBE.

a = 5.6626 Å, b = 5.6626 Å, c = 5.6626 Å
α = 132.61°, β = 132.61°, γ = 69.27°
Closest atoms and distances in Å follow each position.
Element x y z (fractional)
Zr 0.0000 0.0000 0.0000  4 Ca 3.22, 4 Hg 3.26, 4 Zr 3.26
Zr 0.2500 0.7500 0.5000  4 Hg 3.22, 4 Ca 3.26, 4 Zr 3.26
Hg 0.7500 0.2500 0.5000  8 Zr 3.22-3.26, 4 Ca 3.26
Ca 0.5000 0.5000 0.0000  8 Zr 3.22-3.26, 4 Hg 3.26

Values from the calculation:
DFT formation energy = 15 kJ/mol of atoms


> Which of these has the lowest DFT formation energy?

number 5